--- a ---
Material: FeSe2NF
Method: DFT, GGA+U
State: optimized geometry

POSCAR file:
```
FeSe2NF
1.0
4.6121 0.0000 0.0000
0.0000 4.6121 0.0000
0.0000 0.0000 4.0858
N Fe Se F
1 1 2 1
Direct
0.0000 0.0000 0.5000
0.5000 0.5000 0.5000
0.0000 0.5000 0.0000
0.5000 0.0000 0.0000
0.0000 0.0000 0.0000
```

--- b ---
Material: FeSe2NF
Method: DFT, GGA+U
State: optimized geometry

POSCAR file:
```
FeSe2NF
1.0
-0.6069 0.9988 -4.8560
1.1825 -4.7219 -1.1190
-3.3803 -0.9026 0.2368
N Fe Se F
1 1 2 1
Direct
0.0000 0.0000 0.5000
0.0000 0.0000 0.0000
0.0000 0.5000 0.0000
0.5000 0.0000 0.0000
0.5000 0.5000 0.5000
```

Last place for stability: a

--- a ---
Material: FeSeN2F
Method: DFT, GGA+U
State: optimized geometry

POSCAR file:
```
FeSeN2F
1.0
3.4859 0.0000 0.0000
0.0000 3.4859 0.0000
0.0000 0.0000 5.1567
N Fe Se F
2 1 1 1
Direct
0.0000 0.5000 0.0000
0.5000 0.0000 0.0000
0.0000 0.0000 0.0000
0.0000 0.0000 0.5000
0.5000 0.5000 0.5000
```

--- b ---
Material: FeSeN2F
Method: DFT, GGA+U
State: optimized geometry

POSCAR file:
```
FeSeN2F
1.0
-1.4428 -1.0078 -3.4866
1.7575 -3.4768 0.2777
-3.3013 -1.5245 1.8068
N Fe Se F
2 1 1 1
Direct
0.0000 0.5000 0.0000
0.5000 0.0000 0.0000
0.5000 0.5000 0.5000
0.0000 0.0000 0.0000
0.0000 0.0000 0.5000
```

--- c ---
Material: FeSeN2F
Method: DFT, GGA+U
State: optimized geometry

POSCAR file:
```
FeSeN2F
1.0
3.9900 0.0000 0.0000
0.0000 3.9900 0.0000
0.0000 0.0000 3.7855
N Fe Se F
2 1 1 1
Direct
0.0000 0.5000 0.0000
0.5000 0.0000 0.0000
0.0000 0.0000 0.0000
0.5000 0.5000 0.5000
0.0000 0.0000 0.5000
```

Last place for stability: a